Ba2TaCr: optimized geometry, PBE.

abc: 7.871 7.871 7.871
angles: 90.00 90.00 90.00
Space group F-43m (No. 216)
Symmetry-distinct sites (fractional):
Ba  0.000  0.000  0.000 x4
Ba  0.250  0.250  0.250 x4
Ta  0.250  0.250  0.750 x4
Cr  0.000  0.000  0.500 x4

Output
ΔH_f (0 K) = 117.5 kJ per mole of atoms
Magnetic moment = 0.31 μB per atom
E = -81.80 eV/cell
Polymorph energy (0 for the lowest one) = 529 meV/atom